# 1
This record from Alexandria via LeMat-Bulk describes an optimized crystal structure of HfAl2TcBr. The functional is PBE.

Summary:
* total energy: -23.7 eV per cell
* M_tot: 0.0 μB/cell
* SG: No. 123
* formation energy (no corrections): 5.8 eV/f.u.
* D(E_F): 3.70 states/eV/f.u.

Cell: 5.514 4.651 5.514 Å, 90.00 90.00 90.00°
Positions (direct):
Hf (0.000, 0.000, 0.000)
Br (0.500, 0.500, 0.500)
Tc (0.000, 0.500, 0.000)
Al (0.000, 0.000, 0.500)
Al (0.500, 0.000, 0.000)

***

# 2
This record from Alexandria via LeMat-Bulk describes an optimized crystal structure of MoOsBr2. The functional is PBE.

Summary:
* total energy: -24.7 eV per cell
* M_tot: 0.0 μB/cell
* offset from the most stable computed form: 0.0000 eV per atom
* SG: No. 6
* formation energy (no corrections): 0.7 eV/f.u.
* D(E_F): 3.03 states/eV/f.u.

Cell: 3.053 3.275 8.978 Å, 90.17 90.00 90.00°
Positions (direct):
Os (0.500, 0.875, 0.701)
Br (0.500, 0.372, 0.317)
Br (0.000, 0.879, 0.936)
Mo (0.000, 0.374, 0.545)

***

# 3
This record from Alexandria via LeMat-Bulk describes an optimized crystal structure of Sc5Re2C7. The functional is PBE.

Summary:
* total energy: -127.9 eV per cell
* M_tot: 0.0 μB/cell
* SG: No. 65
* D(E_F): 3.42 states/eV/f.u.

Cell: 7.898 7.898 3.217 Å, 90.00 90.00 120.68°
Positions (direct):
Sc (0.339, 0.084, 0.500)
Sc (0.661, 0.916, 0.500)
Sc (0.916, 0.661, 0.500)
Sc (0.500, 0.500, 0.000)
Sc (0.084, 0.339, 0.500)
Re (0.285, 0.715, 0.000)
Re (0.715, 0.285, 0.000)
C (0.000, 0.500, 0.000)
C (0.827, 0.827, 0.000)
C (0.619, 0.381, 0.500)
C (0.500, 0.000, 0.000)
C (0.173, 0.173, 0.000)
C (0.381, 0.619, 0.500)
C (0.000, 0.000, 0.000)

***

# 4
This record from Alexandria via LeMat-Bulk describes an optimized crystal structure of HfMg2TiN4. The functional is PBE.

Summary:
* total energy: -65.3 eV per cell
* M_tot: 0.0 μB/cell
* SG: No. 10
* formation energy (no corrections): -11.0 eV/f.u.

Cell: 3.119 5.389 5.392 Å, 109.44 90.00 90.00°
Positions (direct):
N (0.500, 0.236, 0.231)
N (0.000, 0.753, 0.235)
N (0.500, 0.764, 0.769)
N (0.000, 0.247, 0.765)
Ti (0.000, 0.000, 0.000)
Hf (0.500, 0.500, 0.000)
Mg (0.000, 0.500, 0.500)
Mg (0.500, 0.000, 0.500)

***

# 5
This record from Alexandria via LeMat-Bulk describes an optimized crystal structure of Pm2Sm6Er3. The functional is PBE.

Summary:
* total energy: -48.4 eV per cell
* M_tot: 0.0 μB/cell
* SG: No. 139
* D(E_F): 15.14 states/eV/f.u.

Cell: 4.773 4.773 17.158 Å, 98.00 98.00 90.00°
Positions (direct):
Pm (0.454, 0.454, 0.909)
Pm (0.546, 0.546, 0.091)
Sm (0.699, 0.699, 0.397)
Sm (0.122, 0.622, 0.243)
Sm (0.378, 0.878, 0.757)
Sm (0.622, 0.122, 0.243)
Sm (0.301, 0.301, 0.603)
Sm (0.878, 0.378, 0.757)
Er (0.000, 0.000, 0.000)
Er (0.801, 0.801, 0.601)
Er (0.199, 0.199, 0.399)

***

# 6
This record from Alexandria via LeMat-Bulk describes an optimized crystal structure of AcPm2Tl. The functional is PBE.

Summary:
* total energy: -16.7 eV per cell
* M_tot: 0.0 μB/cell
* offset from the most stable computed form: 0.0000 eV per atom
* SG: No. 123
* D(E_F): 4.18 states/eV/f.u.

Cell: 3.784 3.784 9.459 Å, 90.00 90.00 90.00°
Positions (direct):
Tl (0.500, 0.500, 0.000)
Pm (0.000, 0.000, 0.219)
Pm (0.000, 0.000, 0.781)
Ac (0.500, 0.500, 0.500)